Entry 1:
Entry from Alexandria via LeMat-Bulk: crystalline NaErTeS at its relaxed geometry (GGA-PBE).

Output
Final energy, eV per atom: -4.78
ΔE_f (raw), eV per atom: -1.4910
Size of the total moment, μB per formula unit: 0.0

Cell and atoms, written as POSCAR:
```
NaErTeS
1.0
3.568 -2.061 0.000
3.568 2.061 0.000
-2.367 0.000 7.509
Na Er Te S
1 1 1 1
direct
0.000 0.000 0.000
0.157 0.157 0.468
0.574 0.574 0.720
0.761 0.761 0.281
```

=====

Entry 2:
Entry from Alexandria via LeMat-Bulk: crystalline Na3Er3TeS8 at its relaxed geometry (GGA-PBE).

Output
Final energy, eV per atom: -5.06
ΔE_f (raw), eV per atom: -1.4710
Size of the total moment, μB per formula unit: 0.0

Cell and atoms, written as POSCAR:
```
Na3Er3TeS8
1.0
3.937 2.273 6.725
-3.937 2.273 6.725
0.000 -4.547 6.725
Na Er Te S
3 3 1 8
direct
0.000 0.500 0.500
0.500 0.000 0.500
0.500 0.500 0.000
0.000 0.000 0.500
0.000 0.500 0.000
0.500 0.000 0.000
0.500 0.500 0.500
0.241 0.241 0.241
0.246 0.737 0.737
0.263 0.263 0.754
0.263 0.754 0.263
0.737 0.246 0.737
0.737 0.737 0.246
0.754 0.263 0.263
0.759 0.759 0.759
```